# HoNb2Co (GGA-PBE, optimized geometry)
data_HoNb2Co
_chemical_formula_sum 'Ho3 Nb6 Co3'
_cell_length_a 2.9510
_cell_length_b 2.9510
_cell_length_c 30.3823
_cell_angle_alpha 90.00
_cell_angle_beta 90.00
_cell_angle_gamma 120.00
_symmetry_space_group_name_H-M 'P 1'
_symmetry_Int_Tables_number 1
loop_
_symmetry_equiv_pos_as_xyz
'x,y,z'
loop_
_atom_site_label
_atom_site_fract_x
_atom_site_fract_y
_atom_site_fract_z
Ho1 0.0000 0.0000 0.0000
Ho2 0.3333 0.6667 0.6667
Ho3 0.6667 0.3333 0.3333
Nb1 0.0000 0.0000 0.1001
Nb2 0.0000 0.0000 0.8999
Nb3 0.3333 0.6667 0.5666
Nb4 0.3333 0.6667 0.7668
Nb5 0.6667 0.3333 0.2332
Nb6 0.6667 0.3333 0.4334
Co1 0.0000 0.0000 0.5000
Co2 0.3333 0.6667 0.1667
Co3 0.6667 0.3333 0.8333
# **Electronic total energy**: -7.4080 eV per atom
# **DOS at the Fermi energy**: 16.76 states/eV/cell
# **Spin magnetization**: 0.47 μB per formula unit